DFT (PBE with a Hubbard U) results for Ba3Ni5F12 after structural relaxation.

a b c (Å): 11.923 11.923 11.923
angles (deg): 109.47 109.47 109.47
Fractional coordinates of all 80 atoms:
Ba: 0.125 0.250 0.375
Ba: 0.125 0.375 0.750
Ba: 0.250 0.375 0.125
Ba: 0.250 0.875 0.625
Ba: 0.375 0.125 0.250
Ba: 0.375 0.750 0.125
Ba: 0.625 0.250 0.875
Ba: 0.625 0.875 0.750
Ba: 0.750 0.125 0.375
Ba: 0.750 0.625 0.875
Ba: 0.875 0.625 0.250
Ba: 0.875 0.750 0.625
Ni: 0.000 0.000 0.000
Ni: 0.000 0.000 0.500
Ni: 0.000 0.500 0.000
Ni: 0.000 0.500 0.500
Ni: 0.125 0.750 0.875
Ni: 0.125 0.875 0.250
Ni: 0.250 0.125 0.875
Ni: 0.250 0.625 0.375
Ni: 0.375 0.250 0.625
Ni: 0.375 0.625 0.750
Ni: 0.500 0.000 0.000
Ni: 0.500 0.000 0.500
Ni: 0.500 0.500 0.000
Ni: 0.500 0.500 0.500
Ni: 0.625 0.375 0.250
Ni: 0.625 0.750 0.375
Ni: 0.750 0.375 0.625
Ni: 0.750 0.875 0.125
Ni: 0.875 0.125 0.750
Ni: 0.875 0.250 0.125
F: 0.027 0.192 0.109
F: 0.027 0.335 0.918
F: 0.082 0.609 0.417
F: 0.082 0.973 0.665
F: 0.083 0.692 0.665
F: 0.083 0.891 0.418
F: 0.109 0.027 0.192
F: 0.109 0.582 0.917
F: 0.165 0.192 0.583
F: 0.165 0.473 0.582
F: 0.192 0.109 0.027
F: 0.192 0.583 0.165
F: 0.308 0.335 0.917
F: 0.308 0.473 0.391
F: 0.335 0.917 0.308
F: 0.335 0.918 0.027
F: 0.391 0.308 0.473
F: 0.391 0.583 0.918
F: 0.417 0.082 0.609
F: 0.417 0.835 0.808
F: 0.418 0.083 0.891
F: 0.418 0.835 0.527
F: 0.473 0.391 0.308
F: 0.473 0.582 0.165
F: 0.527 0.418 0.835
F: 0.527 0.609 0.692
F: 0.582 0.165 0.473
F: 0.582 0.917 0.109
F: 0.583 0.165 0.192
F: 0.583 0.918 0.391
F: 0.609 0.417 0.082
F: 0.609 0.692 0.527
F: 0.665 0.082 0.973
F: 0.665 0.083 0.692
F: 0.692 0.527 0.609
F: 0.692 0.665 0.083
F: 0.808 0.417 0.835
F: 0.808 0.891 0.973
F: 0.835 0.527 0.418
F: 0.835 0.808 0.417
F: 0.891 0.418 0.083
F: 0.891 0.973 0.808
F: 0.917 0.109 0.582
F: 0.917 0.308 0.335
F: 0.918 0.027 0.335
F: 0.918 0.391 0.583
F: 0.973 0.665 0.082
F: 0.973 0.808 0.891

theoretical density = 4.751 Mg/m³
space-group type = Ia-3d
energy = -4.40 eV per atom